VASP calculation (GGA-PBE) on an optimized crystal structure of TbTh2NpP4.

Summary:
Magnetic moment (μB per atom): 0.51
Electronic total energy (eV per atom): -8.149
Symmetry: P2/m, No. 10

Unit cell a=4.0870 b=7.0671 c=7.0335 alpha=109.63 beta=90.00 gamma=90.00
Each line ends with the local moment (μB).
Atoms (fractional coordinates):
P: 0.0000 0.7441 0.2392  -0.05
Th: 0.5000 0.0000 0.5000  0.05
P: 0.0000 0.2559 0.7608  -0.05
Np: 0.5000 0.5000 0.0000  3.68
P: 0.5000 0.7506 0.7578  -0.02
Th: 0.0000 0.5000 0.5000  0.05
P: 0.5000 0.2494 0.2422  -0.02
Tb: 0.0000 0.0000 0.0000  0.03



VASP calculation (GGA-PBE) on an optimized crystal structure of Tb2ThNpP4.

Summary:
Magnetic moment (μB per atom): 0.49
Electronic total energy (eV per atom): -7.817
Symmetry: P2/m, No. 10

Unit cell a=4.0476 b=7.0034 c=7.0071 alpha=109.51 beta=90.00 gamma=90.00
Each line ends with the local moment (μB).
Atoms (fractional coordinates):
Tb: 0.5000 0.0000 0.5000  0.02
Tb: 0.0000 0.5000 0.5000  0.03
Th: 0.5000 0.5000 0.0000  0.03
P: 0.0000 0.2439 0.7476  -0.03
P: 0.5000 0.7567 0.7522  -0.06
P: 0.0000 0.7561 0.2524  -0.03
Np: 0.0000 0.0000 0.0000  3.65
P: 0.5000 0.2433 0.2478  -0.06



VASP calculation (GGA-PBE) on an optimized crystal structure of TbTmNp2P4.

Summary:
Magnetic moment (μB per atom): 0.01
Electronic total energy (eV per atom): -8.285
Symmetry: P2/m, No. 10

Unit cell a=3.9527 b=6.8748 c=6.8796 alpha=109.38 beta=90.00 gamma=90.00
Each line ends with the local moment (μB).
Atoms (fractional coordinates):
P: 0.5000 0.7454 0.7448  0.03
Tm: 0.5000 0.5000 0.0000  -0.01
P: 0.5000 0.2546 0.2552  0.03
Np: 0.0000 0.5000 0.5000  -3.46
Np: 0.5000 0.0000 0.5000  3.51
P: 0.0000 0.2512 0.7468  -0.03
P: 0.0000 0.7488 0.2532  -0.03
Tb: 0.0000 0.0000 0.0000  0.00



VASP calculation (GGA-PBE) on an optimized crystal structure of Tb2TmNpP4.

Summary:
Magnetic moment (μB per atom): 0.45
Electronic total energy (eV per atom): -7.457
Symmetry: P2/m, No. 10

Unit cell a=3.9808 b=6.8941 c=6.9053 alpha=109.31 beta=90.00 gamma=90.00
Each line ends with the local moment (μB).
Atoms (fractional coordinates):
P: 0.0000 0.7502 0.2430  -0.04
Tb: 0.0000 0.5000 0.5000  0.03
P: 0.5000 0.7534 0.7569  -0.07
Tb: 0.5000 0.0000 0.5000  0.03
Tm: 0.5000 0.5000 0.0000  0.02
P: 0.5000 0.2466 0.2431  -0.07
Np: 0.0000 0.0000 0.0000  3.47
P: 0.0000 0.2498 0.7570  -0.04



VASP calculation (GGA-PBE) on an optimized crystal structure of TbYNp2P4.

Summary:
Magnetic moment (μB per atom): 0.00
Electronic total energy (eV per atom): -8.543
Symmetry: P2/m, No. 10

Unit cell a=3.9683 b=6.9010 c=6.9119 alpha=109.37 beta=90.00 gamma=90.00
Each line ends with the local moment (μB).
Atoms (fractional coordinates):
Np: 0.5000 0.0000 0.5000  3.49
Y: 0.5000 0.5000 0.0000  0.00
P: 0.0000 0.7522 0.2567  -0.03
Tb: 0.0000 0.0000 0.0000  0.00
P: 0.5000 0.7470 0.7431  0.03
P: 0.5000 0.2530 0.2569  0.03
Np: 0.0000 0.5000 0.5000  -3.48
P: 0.0000 0.2478 0.7433  -0.03



VASP calculation (GGA-PBE) on an optimized crystal structure of TbZr2NpP4.

Summary:
Magnetic moment (μB per atom): 0.46
Electronic total energy (eV per atom): -8.365
Symmetry: P2/m, No. 10

Unit cell a=3.8464 b=6.6639 c=6.7019 alpha=109.24 beta=90.00 gamma=90.00
Each line ends with the local moment (μB).
Atoms (fractional coordinates):
P: 0.5000 0.2575 0.2632  -0.03
Tb: 0.0000 0.0000 0.0000  0.03
P: 0.0000 0.7512 0.2618  -0.05
Zr: 0.0000 0.5000 0.5000  0.05
P: 0.5000 0.7425 0.7368  -0.03
Np: 0.5000 0.5000 0.0000  3.51
P: 0.0000 0.2488 0.7382  -0.05
Zr: 0.5000 0.0000 0.5000  0.01



VASP calculation (GGA-PBE) on an optimized crystal structure of NpTcP2.

Summary:
ΔE to the lowest computed polymorph (meV/atom): 245.7
Magnetic moment (μB per atom): 1.12
Electronic total energy (eV per atom): -8.926
Symmetry: P4/mmm, No. 123

Unit cell a=3.0394 b=3.0394 c=6.8023 alpha=90.00 beta=90.00 gamma=90.00
Each line ends with the local moment (μB).
Atoms (fractional coordinates):
P: 0.0000 0.0000 0.7933  -0.04
Np: 0.5000 0.5000 0.5000  4.09
Tc: 0.5000 0.5000 0.0000  0.15
P: 0.0000 0.0000 0.2067  -0.04



VASP calculation (GGA-PBE) on an optimized crystal structure of NpTc12P6.

Summary:
Magnetic moment (μB per atom): 0.18
Electronic total energy (eV per atom): -9.289
Symmetry: R-3m, No. 166

Unit cell a=6.8638 b=6.8638 c=6.8638 alpha=103.83 beta=103.83 gamma=103.83
Each line ends with the local moment (μB).
Atoms (fractional coordinates):
P: 0.2335 0.2335 0.6817  0.00
P: 0.7665 0.3183 0.7665  0.00
Tc: 0.1838 0.4500 0.4500  -0.08
Tc: 0.4500 0.1838 0.4500  -0.08
Tc: 0.8657 0.1343 0.5000  -0.05
Tc: 0.8657 0.5000 0.1343  -0.05
Tc: 0.5500 0.5500 0.8162  -0.08
P: 0.2335 0.6817 0.2335  0.00
Tc: 0.5000 0.8657 0.1343  -0.05
Tc: 0.1343 0.8657 0.5000  -0.05
Tc: 0.4500 0.4500 0.1838  -0.08
Tc: 0.1343 0.5000 0.8657  -0.05
Tc: 0.8162 0.5500 0.5500  -0.08
Tc: 0.5500 0.8162 0.5500  -0.08
Np: 0.0000 0.0000 0.0000  3.95
P: 0.6817 0.2335 0.2335  0.00
P: 0.7665 0.7665 0.3183  0.00
Tc: 0.5000 0.1343 0.8657  -0.05
P: 0.3183 0.7665 0.7665  0.00



Here are the calculated ΔH_f (0 K) numbers, same order: -11.14 -11.28 -9.66 -11.34 -9.72 -10.61 -1.58 -6.70 (eV/f.u.).
Here are the calculated N(E_F) numbers, same order: 1.638 1.424 2.463 1.263 2.510 1.395 1.118 1.254 (states/eV per atom).